A relaxed structure of RbScSn2I8. Source: Alexandria, functional PBE.

```
RbScSn2I8
1.0
7.218 0.000 0.000
0.230 7.684 0.000
0.044 0.042 9.672
Rb Sc Sn I
1 1 2 8
direct
0.000 0.000 0.000 Rb
0.000 0.000 0.500 Sc
0.499 0.499 0.255 Sn
0.501 0.501 0.745 Sn
0.229 0.317 0.499 I
0.244 0.847 0.708 I
0.245 0.849 0.292 I
0.270 0.378 0.002 I
0.730 0.622 0.998 I
0.755 0.151 0.708 I
0.756 0.153 0.292 I
0.771 0.683 0.501 I
```

DOS at the Fermi energy (states/eV per cell): 0.00



A relaxed structure of RbSc2SnI. Source: Alexandria, functional PBE.

```
RbSc2SnI
1.0
5.459 0.000 0.000
0.000 5.459 0.000
0.000 0.000 6.297
Rb Sc Sn I
1 2 1 1
direct
0.000 0.000 0.000 Rb
0.000 0.500 0.500 Sc
0.500 0.000 0.500 Sc
0.500 0.500 0.000 Sn
0.500 0.500 0.500 I
```

DOS at the Fermi energy (states/eV per cell): 4.39



A relaxed structure of Rb2ScSnI6. Source: Alexandria, functional PBE.

```
Rb2ScSnI6
1.0
-4.337 4.337 6.149
4.337 -4.337 6.149
4.337 4.337 -6.149
Rb Sc Sn I
2 1 1 6
direct
0.250 0.750 0.500 Rb
0.750 0.250 0.500 Rb
0.000 0.000 0.000 Sc
0.500 0.500 0.000 Sn
0.239 0.239 0.000 I
0.239 0.239 0.479 I
0.239 0.761 0.000 I
0.761 0.239 0.000 I
0.761 0.761 0.000 I
0.761 0.761 0.521 I
```

DOS at the Fermi energy (states/eV per cell): 7.05



A relaxed structure of RbSr2ScI8. Source: Alexandria, functional PBE.

```
RbSr2ScI8
1.0
7.308 0.000 0.000
0.051 7.680 0.000
0.010 0.005 10.068
Rb Sr Sc I
1 2 1 8
direct
0.000 0.000 0.000 Rb
0.500 0.500 0.258 Sr
0.500 0.500 0.742 Sr
0.000 0.000 0.500 Sc
0.231 0.850 0.702 I
0.232 0.851 0.298 I
0.236 0.322 0.500 I
0.257 0.387 0.000 I
0.743 0.613 0.000 I
0.764 0.678 0.500 I
0.768 0.149 0.702 I
0.769 0.150 0.298 I
```

DOS at the Fermi energy (states/eV per cell): 0.00



A relaxed structure of Rb2ScTaI6. Source: Alexandria, functional PBE.

```
Rb2ScTaI6
1.0
0.000 5.824 5.824
5.824 0.000 5.824
5.824 5.824 0.000
Rb Sc Ta I
2 1 1 6
direct
0.250 0.250 0.250 Rb
0.750 0.750 0.750 Rb
0.000 0.000 0.000 Sc
0.500 0.500 0.500 Ta
0.253 0.253 0.747 I
0.253 0.747 0.253 I
0.253 0.747 0.747 I
0.747 0.253 0.253 I
0.747 0.253 0.747 I
0.747 0.747 0.253 I
```

DOS at the Fermi energy (states/eV per cell): 4.71



A relaxed structure of RbSc2TcI. Source: Alexandria, functional PBE.

```
RbSc2TcI
1.0
5.413 0.000 0.000
0.000 5.413 0.000
0.000 0.000 4.728
Rb Sc Tc I
1 2 1 1
direct
0.000 0.000 0.000 Rb
0.000 0.500 0.000 Sc
0.500 0.000 0.000 Sc
0.000 0.000 0.500 Tc
0.500 0.500 0.500 I
```

DOS at the Fermi energy (states/eV per cell): 6.53



A relaxed structure of RbScTe2I. Source: Alexandria, functional PBE.

```
RbScTe2I
1.0
6.129 0.000 0.000
0.000 6.129 0.000
0.000 0.000 6.290
Rb Sc Te I
1 1 2 1
direct
0.000 0.000 0.000 Rb
0.500 0.500 0.500 Sc
0.000 0.500 0.000 Te
0.500 0.000 0.000 Te
0.000 0.000 0.500 I
```

DOS at the Fermi energy (states/eV per cell): 7.38



A relaxed structure of RbScTe2I. Source: Alexandria, functional PBE.

```
RbScTe2I
1.0
5.591 0.000 0.000
0.000 5.591 0.000
0.000 0.000 6.178
Rb Sc Te I
1 1 2 1
direct
0.000 0.000 0.000 Rb
0.500 0.500 0.500 Sc
0.000 0.500 0.500 Te
0.500 0.000 0.500 Te
0.500 0.500 0.000 I
```

DOS at the Fermi energy (states/eV per cell): 5.14



A relaxed structure of RbScTiI6. Source: Alexandria, functional PBE.

```
RbScTiI6
1.0
7.437 0.000 0.000
-3.718 6.440 0.000
0.000 0.000 16.931
Rb Sc Ti I
2 2 2 12
direct
0.000 0.000 0.000 Rb
0.000 0.000 0.500 Rb
0.333 0.667 0.250 Sc
0.667 0.333 0.750 Sc
0.333 0.667 0.750 Ti
0.667 0.333 0.250 Ti
0.003 0.365 0.651 I
0.003 0.638 0.849 I
0.362 0.365 0.849 I
0.362 0.997 0.651 I
0.365 0.003 0.151 I
0.365 0.362 0.349 I
0.635 0.638 0.651 I
0.635 0.997 0.849 I
0.638 0.003 0.349 I
0.638 0.635 0.151 I
0.997 0.362 0.151 I
0.997 0.635 0.349 I
```

DOS at the Fermi energy (states/eV per cell): 20.04



A relaxed structure of RbScTl2I6. Source: Alexandria, functional PBE.

```
RbScTl2I6
1.0
8.585 0.000 0.000
4.292 7.458 0.000
4.291 2.480 7.485
Rb Sc Tl I
1 1 2 6
direct
0.000 0.000 0.000 Rb
0.509 0.509 0.472 Sc
0.193 0.192 0.421 Tl
0.706 0.706 0.881 Tl
0.171 0.728 0.690 I
0.316 0.589 0.235 I
0.411 0.171 0.690 I
0.590 0.858 0.235 I
0.730 0.410 0.689 I
0.859 0.317 0.234 I
```

DOS at the Fermi energy (states/eV per cell): 0.00



A relaxed structure of RbScV2I. Source: Alexandria, functional PBE.

```
RbScV2I
1.0
5.372 0.000 0.000
0.000 5.372 0.000
0.000 0.000 5.904
Rb Sc V I
1 1 2 1
direct
0.000 0.000 0.000 Rb
0.000 0.000 0.500 Sc
0.000 0.500 0.000 V
0.500 0.000 0.000 V
0.500 0.500 0.500 I
```

DOS at the Fermi energy (states/eV per cell): 17.46



A relaxed structure of RbScVI6. Source: Alexandria, functional PBE.

```
RbScVI6
1.0
7.429 0.000 0.000
-3.715 6.434 0.000
0.000 0.000 16.752
Rb Sc V I
2 2 2 12
direct
0.000 0.000 0.000 Rb
0.000 0.000 0.500 Rb
0.333 0.667 0.250 Sc
0.667 0.333 0.750 Sc
0.333 0.667 0.750 V
0.667 0.333 0.250 V
0.006 0.370 0.652 I
0.006 0.636 0.848 I
0.364 0.370 0.848 I
0.364 0.994 0.652 I
0.370 0.006 0.152 I
0.370 0.364 0.348 I
0.630 0.636 0.652 I
0.630 0.994 0.848 I
0.636 0.006 0.348 I
0.636 0.630 0.152 I
0.994 0.364 0.152 I
0.994 0.630 0.348 I
```



Number 1: E_form (uncorrected) -849.3 meV per atom, total DFT energy (no corrections) -3.1582 eV per atom, theoretical density 4281 kg/m3. Number 2: E_form (uncorrected) 435.5 meV per atom, total DFT energy (no corrections) -3.4013 eV per atom, theoretical density 3725 kg/m3. Number 3: E_form (uncorrected) -1013.0 meV per atom, total DFT energy (no corrections) -3.1700 eV per atom, theoretical density 3934 kg/m3. Number 4: E_form (uncorrected) -1455.7 meV per atom, total DFT energy (no corrections) -3.3777 eV per atom, theoretical density 3881 kg/m3. Number 5: E_form (uncorrected) -743.9 meV per atom, total DFT energy (no corrections) -3.6859 eV per atom, theoretical density 4868 kg/m3. Number 6: E_form (uncorrected) 1907.9 meV per atom, total DFT energy (no corrections) -3.2015 eV per atom, theoretical density 4798 kg/m3. Number 7: E_form (uncorrected) 599.0 meV per atom, total DFT energy (no corrections) -2.4275 eV per atom, theoretical density 3602 kg/m3. Number 8: E_form (uncorrected) -994.0 meV per atom, total DFT energy (no corrections) -4.0205 eV per atom, theoretical density 4408 kg/m3. Number 9: E_form (uncorrected) -1076.2 meV per atom, total DFT energy (no corrections) -3.7979 eV per atom, theoretical density 3849 kg/m3. Number 10: E_form (uncorrected) -1044.4 meV per atom, total DFT energy (no corrections) -3.1777 eV per atom, theoretical density 4507 kg/m3. Number 11: E_form (uncorrected) 2182.1 meV per atom, total DFT energy (no corrections) -3.2352 eV per atom, theoretical density 3500 kg/m3. Number 12: E_form (uncorrected) -1018.9 meV per atom, total DFT energy (no corrections) -3.8765 eV per atom, theoretical density 3910 kg/m3.